VASP calculation (PBE) on Zr6PtN4 after structural relaxation.

a = 3.3350 Å, b = 11.1483 Å, c = 17.3409 Å
α = 90.00°, β = 90.00°, γ = 90.00°
Space group Cmcm (No. 63)
Unique sites:
Zr (0.0000, 0.0000, 0.0000) (multiplicity 4)
Zr (0.0000, 0.1501, 0.2500) (multiplicity 4)
Zr (0.0000, 0.2761, 0.5784) (multiplicity 8)
Zr (0.0000, 0.4628, 0.1492) (multiplicity 8)
Pt (0.0000, 0.1608, 0.7500) (multiplicity 4)
N (0.0000, 0.0949, 0.1210) (multiplicity 8)
N (0.0000, 0.3622, 0.0392) (multiplicity 8)

Calculated values
The calculation puts the total energy at -9.700 eV/atom. Its density is 8.23 g/cm3.